(1)
Here is an optimized crystal structure of SrGdY2 from Alexandria. Energies are from GGA-PBE.

Unit cell a=3.711 b=3.711 c=10.580 alpha=90.00 beta=90.00 gamma=90.00
Last column: magnetic moment on the atom in μB.
Fractional positions:
Gd1 0.500 0.500 0.000  7.10
Y1 0.000 0.000 0.779  -0.10
Y2 0.000 0.000 0.221  -0.10
Sr1 0.500 0.500 0.500  -0.03

Values from the calculation:
- excess energy over the best structure of this formula in the dataset (kJ/mol of formula units) = 0.0
- SG = P4/mmm (123)
- total energy (eV/atom) = -7.049
- E_form (eV per atom) = 0.124
- calculated density (g/cm³) = 4.82

---

(2)
Here is an optimized crystal structure of AcSmTlBi from Alexandria. Energies are from GGA-PBE.

Unit cell a=5.720 b=5.720 c=5.720 alpha=60.00 beta=60.00 gamma=60.00
Fractional positions:
Ac1 0.250 0.250 0.250
Sm1 0.750 0.750 0.750
Tl1 0.500 0.500 0.500
Bi1 0.000 0.000 0.000

Values from the calculation:
- SG = F-43m (216)
- total energy (eV/atom) = -4.225
- E_form (eV per atom) = -0.456
- calculated density (g/cm³) = 9.92

---

(3)
Here is an optimized crystal structure of SmHo2ThBi5 from Alexandria. Energies are from GGA-PBE.

Unit cell a=5.714 b=5.714 c=12.038 alpha=90.00 beta=90.00 gamma=90.00
Fractional positions:
Bi1 0.500 0.000 0.500
Bi2 0.000 0.000 0.756
Ho1 0.500 0.500 0.736
Bi3 0.000 0.500 0.500
Sm1 0.000 0.000 0.000
Bi4 0.500 0.500 0.000
Th1 0.000 0.000 0.500
Ho2 0.500 0.500 0.264
Bi5 0.000 0.000 0.244

Values from the calculation:
- SG = P4/mmm (123)
- total energy (eV/atom) = -4.294
- E_form (eV per atom) = 0.228
- calculated density (g/cm³) = 7.42

---

(4)
Here is an optimized crystal structure of Y4HoAgS8 from Alexandria. Energies are from GGA-PBE.

Unit cell a=8.035 b=8.035 c=8.023 alpha=59.95 beta=59.95 gamma=60.00
Fractional positions:
Y1 0.004 0.487 0.504
S1 0.241 0.241 0.744
S2 0.773 0.241 0.744
Ho1 0.004 0.004 0.987
S3 0.241 0.773 0.744
Ag1 0.375 0.375 0.874
S4 0.224 0.759 0.257
S5 0.759 0.224 0.257
Y2 0.004 0.004 0.504
Y3 0.625 0.625 0.126
S6 0.758 0.758 0.725
S7 0.243 0.243 0.272
Y4 0.487 0.004 0.504
S8 0.759 0.759 0.257

Values from the calculation:
- SG = R3m (160)
- total energy (eV/atom) = -6.571
- calculated density (g/cm³) = 4.02

---

(5)
Here is an optimized crystal structure of Cs2NaSe from Alexandria. Energies are from GGA-PBE.

Unit cell a=6.298 b=6.298 c=6.298 alpha=60.00 beta=60.00 gamma=60.00
Last column: magnetic moment on the atom in μB.
Fractional positions:
Cs1 0.250 0.250 0.250  0.03
Cs2 0.750 0.750 0.750  0.03
Na1 0.000 0.000 0.000  0.10
Se1 0.500 0.500 0.500  0.05

Values from the calculation:
- excess energy over the best structure of this formula in the dataset (kJ/mol of formula units) = 68.8
- SG = Fm-3m (225)
- total energy (eV/atom) = -2.140
- calculated density (g/cm³) = 3.46

---

(6)
Here is an optimized crystal structure of CaCe2In from Alexandria. Energies are from GGA-PBE.

Unit cell a=3.322 b=3.322 c=12.482 alpha=82.35 beta=82.35 gamma=60.00
Last column: magnetic moment on the atom in μB.
Fractional positions:
Ce1 0.909 0.909 0.273  0.46
Ce2 0.091 0.091 0.727  0.46
In1 0.500 0.500 0.500  0.00
Ca1 0.000 0.000 0.000  -0.01

Values from the calculation:
- excess energy over the best structure of this formula in the dataset (kJ/mol of formula units) = 74.6
- SG = R-3m (166)
- total energy (eV/atom) = -4.057
- E_form (eV per atom) = 0.095
- calculated density (g/cm³) = 6.13

---

(7)
Here is an optimized crystal structure of GeH2Se from Alexandria. Energies are from GGA-PBE.

Unit cell a=4.038 b=4.038 c=4.038 alpha=60.00 beta=60.00 gamma=60.00
Fractional positions:
Se1 0.500 0.500 0.500
H1 0.750 0.750 0.750
H2 0.250 0.250 0.250
Ge1 0.000 0.000 0.000

Values from the calculation:
- excess energy over the best structure of this formula in the dataset (kJ/mol of formula units) = 324.3
- SG = Fm-3m (225)
- total energy (eV/atom) = -2.972
- calculated density (g/cm³) = 5.48

---

(8)
Here is an optimized crystal structure of DyLuHf from Alexandria. Energies are from GGA-PBE.

Unit cell a=3.345 b=3.345 c=7.674 alpha=102.59 beta=102.59 gamma=90.00
Fractional positions:
Hf1 0.665 0.665 0.330
Dy1 0.323 0.323 0.646
Lu1 0.012 0.012 0.024

Values from the calculation:
- excess energy over the best structure of this formula in the dataset (kJ/mol of formula units) = 0.0
- SG = I4mm (107)
- total energy (eV/atom) = -6.253
- E_form (eV per atom) = 0.106
- calculated density (g/cm³) = 10.49

---

(9)
Here is an optimized crystal structure of Tb2YAg from Alexandria. Energies are from GGA-PBE.

Unit cell a=6.760 b=6.961 c=9.836 alpha=90.00 beta=90.00 gamma=90.00
Fractional positions:
Tb1 0.198 0.703 0.450
Ag1 0.465 0.926 0.250
Ag2 0.535 0.074 0.750
Tb2 0.698 0.797 0.550
Tb3 0.302 0.203 0.450
Y1 0.609 0.507 0.250
Tb4 0.198 0.703 0.050
Tb5 0.698 0.797 0.950
Ag3 0.035 0.426 0.250
Tb6 0.802 0.297 0.550
Y2 0.891 0.007 0.250
Y3 0.109 0.993 0.750
Ag4 0.965 0.574 0.750
Y4 0.391 0.493 0.750
Tb7 0.302 0.203 0.050
Tb8 0.802 0.297 0.950

Values from the calculation:
- excess energy over the best structure of this formula in the dataset (kJ/mol of formula units) = 4.7
- SG = Pnma (62)
- total energy (eV/atom) = -4.760
- E_form (eV per atom) = -0.116
- calculated density (g/cm³) = 7.39

---

(10)
Here is an optimized crystal structure of Np4MnRh12 from Alexandria. Energies are from GGA-PBE.

Unit cell a=7.157 b=7.157 c=7.157 alpha=109.47 beta=109.47 gamma=109.47
Last column: magnetic moment on the atom in μB.
Fractional positions:
Rh1 0.000 0.287 0.287  -0.34
Rh2 0.250 0.750 0.500  -0.47
Np1 0.000 0.000 0.500  2.99
Rh3 0.750 0.500 0.250  -0.47
Np2 0.000 0.500 0.000  2.99
Rh4 0.000 0.713 0.713  -0.34
Np3 0.500 0.000 0.000  2.99
Rh5 0.750 0.250 0.500  -0.47
Mn1 0.000 0.000 0.000  2.63
Rh6 0.287 0.000 0.287  -0.34
Np4 0.500 0.500 0.500  2.99
Rh7 0.250 0.500 0.750  -0.47
Rh8 0.287 0.287 0.000  -0.34
Rh9 0.713 0.000 0.713  -0.34
Rh10 0.713 0.713 0.000  -0.34
Rh11 0.500 0.750 0.250  -0.47
Rh12 0.500 0.250 0.750  -0.47

Values from the calculation:
- SG = Im-3m (229)
- total energy (eV/atom) = -9.060
- E_form (eV per atom) = -0.287
- calculated density (g/cm³) = 13.17

---

(11)
Here is an optimized crystal structure of Li3Cd4Sn2 from Alexandria. Energies are from GGA-PBE.

Unit cell a=3.299 b=8.338 c=8.338 alpha=62.17 beta=78.59 gamma=78.59
Fractional positions:
Sn1 0.000 0.820 0.180
Cd1 0.676 0.491 0.157
Sn2 0.000 0.180 0.820
Cd2 0.324 0.843 0.509
Cd3 0.324 0.509 0.843
Li1 0.658 0.842 0.842
Cd4 0.676 0.157 0.491
Li2 0.342 0.158 0.158
Li3 0.500 0.500 0.500

Values from the calculation:
- excess energy over the best structure of this formula in the dataset (kJ/mol of formula units) = 35.3
- SG = Immm (71)
- total energy (eV/atom) = -2.091
- E_form (eV per atom) = -0.157
- calculated density (g/cm³) = 5.96

---

(12)
Here is an optimized crystal structure of Y2P2Rh from Alexandria. Energies are from GGA-PBE.

Unit cell a=6.640 b=6.640 c=4.148 alpha=90.00 beta=90.00 gamma=90.00
Fractional positions:
Y1 0.678 0.822 0.500
Rh1 0.500 0.500 0.000
Y2 0.322 0.178 0.500
P1 0.873 0.627 0.000
P2 0.373 0.873 0.000
Rh2 0.000 0.000 0.000
Y3 0.178 0.678 0.500
P3 0.627 0.127 0.000
Y4 0.822 0.322 0.500
P4 0.127 0.373 0.000

Values from the calculation:
- SG = P4/mbm (127)
- total energy (eV/atom) = -7.371
- E_form (eV per atom) = -1.151
- calculated density (g/cm³) = 6.22

---

(13)
Here is an optimized crystal structure of InCuH from Alexandria. Energies are from GGA-PBE.

Unit cell a=2.946 b=6.724 c=4.442 alpha=90.00 beta=90.00 gamma=90.00
Fractional positions:
Cu1 0.000 0.532 0.953
In1 0.500 0.870 0.238
Cu2 0.500 0.468 0.453
H1 0.000 0.390 0.265
In2 0.000 0.130 0.738
H2 0.500 0.610 0.765

Values from the calculation:
- excess energy over the best structure of this formula in the dataset (kJ/mol of formula units) = 7.7
- SG = Pmn2_1 (31)
- total energy (eV/atom) = -3.243
- calculated density (g/cm³) = 6.77

---

(14)
Here is an optimized crystal structure of NdEr3Tc from Alexandria. Energies are from GGA-PBE.

Unit cell a=5.366 b=5.366 c=5.366 alpha=90.00 beta=90.00 gamma=90.00
Fractional positions:
Er1 0.500 0.000 0.000
Er2 0.000 0.000 0.500
Nd1 0.500 0.500 0.500
Tc1 0.000 0.000 0.000
Er3 0.000 0.500 0.000

Values from the calculation:
- excess energy over the best structure of this formula in the dataset (kJ/mol of formula units) = 88.0
- SG = Pm-3m (221)
- total energy (eV/atom) = -5.660
- E_form (eV per atom) = 0.105
- calculated density (g/cm³) = 8.00

---

(15)
Here is an optimized crystal structure of PrNdTl2Se4 from Alexandria. Energies are from GGA-PBE.

Unit cell a=4.344 b=7.522 c=8.145 alpha=107.92 beta=90.00 gamma=90.00
Fractional positions:
Tl1 0.000 0.500 0.500
Se1 0.000 0.261 0.788
Nd1 0.000 0.000 0.000
Se2 0.500 0.235 0.211
Tl2 0.500 0.000 0.500
Pr1 0.500 0.500 0.000
Se3 0.500 0.765 0.789
Se4 0.000 0.739 0.212

Values from the calculation:
- SG = P2/m (10)
- total energy (eV/atom) = -4.904
- calculated density (g/cm³) = 6.62

---

(16)
Here is an optimized crystal structure of Zr2SnHPd from Alexandria. Energies are from GGA-PBE.

Unit cell a=4.395 b=4.395 c=4.273 alpha=90.00 beta=90.00 gamma=90.00
Fractional positions:
Zr1 0.500 0.000 0.000
H1 0.000 0.000 0.000
Sn1 0.500 0.500 0.500
Pd1 0.000 0.000 0.500
Zr2 0.000 0.500 0.000

Values from the calculation:
- SG = P4/mmm (123)
- total energy (eV/atom) = -6.475
- calculated density (g/cm³) = 8.22

---

(17)
Here is an optimized crystal structure of SmFeH6 from Alexandria. Energies are from GGA-PBE.

Unit cell a=4.476 b=4.476 c=4.422 alpha=59.59 beta=59.59 gamma=60.00
Last column: magnetic moment on the atom in μB.
Fractional positions:
H1 0.898 0.898 0.781  -0.01
Sm1 0.500 0.500 0.500  -0.04
H2 0.898 0.423 0.781  -0.01
H3 0.577 0.102 0.219  -0.01
Fe1 0.000 0.000 0.000  1.06
H4 0.102 0.102 0.219  -0.01
H5 0.102 0.577 0.219  -0.01
H6 0.423 0.898 0.781  -0.01

Values from the calculation:
- SG = R-3m (166)
- total energy (eV/atom) = -4.397
- calculated density (g/cm³) = 5.66

---

(18)
Here is an optimized crystal structure of Th4TcCSe2 from Alexandria. Energies are from GGA-PBE.

Unit cell a=4.004 b=6.952 c=7.470 alpha=107.16 beta=90.00 gamma=90.00
Fractional positions:
Th1 0.000 0.727 0.205
Se1 0.000 0.500 0.500
Se2 0.500 0.000 0.500
Th2 0.500 0.743 0.788
Th3 0.500 0.257 0.212
Th4 0.000 0.273 0.795
Tc1 0.000 0.000 0.000
C1 0.500 0.500 0.000

Values from the calculation:
- SG = P2/m (10)
- total energy (eV/atom) = -7.902
- calculated density (g/cm³) = 10.00

---

(19)
Here is an optimized crystal structure of SmBPt from Alexandria. Energies are from GGA-PBE.

Unit cell a=3.528 b=5.726 c=10.643 alpha=90.00 beta=90.00 gamma=90.00
Fractional positions:
Sm1 0.250 0.234 0.070
B1 0.250 0.429 0.324
Pt1 0.750 0.220 0.317
B2 0.750 0.571 0.676
Sm2 0.750 0.766 0.930
Pt2 0.250 0.780 0.683
Sm3 0.750 0.734 0.430
Pt3 0.250 0.720 0.183
B3 0.750 0.929 0.176
B4 0.250 0.071 0.824
Pt4 0.750 0.280 0.817
Sm4 0.250 0.266 0.570

Values from the calculation:
- SG = Pnma (62)
- total energy (eV/atom) = -6.480
- E_form (eV per atom) = -0.667
- calculated density (g/cm³) = 11.01

---

(20)
Here is an optimized crystal structure of MnCrIn2 from Alexandria. Energies are from GGA-PBE.

Unit cell a=4.816 b=3.073 c=4.925 alpha=89.98 beta=90.00 gamma=90.00
Last column: magnetic moment on the atom in μB.
Fractional positions:
Cr1 0.500 0.625 0.826  3.24
In1 0.500 0.125 0.337  -0.11
Mn1 0.000 0.625 0.423  3.38
In2 0.000 0.125 0.914  -0.10

Values from the calculation:
- excess energy over the best structure of this formula in the dataset (kJ/mol of formula units) = 36.9
- SG = Pmm2 (25)
- total energy (eV/atom) = -5.737
- E_form (eV per atom) = 0.331
- calculated density (g/cm³) = 7.67

---

(21)
Here is an optimized crystal structure of MgNiAuSe from Alexandria. Energies are from GGA-PBE.

Unit cell a=4.001 b=4.010 c=5.343 alpha=89.06 beta=89.68 gamma=60.15
Fractional positions:
Ni1 0.451 0.152 0.098
Se1 0.784 0.488 0.983
Au1 0.454 0.139 0.601
Mg1 0.119 0.810 0.340

Values from the calculation:
- excess energy over the best structure of this formula in the dataset (kJ/mol of formula units) = 0.3
- SG = P1 (1)
- total energy (eV/atom) = -3.884
- calculated density (g/cm³) = 8.02

---

(22)
Here is an optimized crystal structure of Ba2ZrRh from Alexandria. Energies are from GGA-PBE.

Unit cell a=5.444 b=5.444 c=5.444 alpha=119.93 beta=119.93 gamma=90.12
Last column: magnetic moment on the atom in μB.
Fractional positions:
Ba1 0.250 0.750 0.500  0.06
Zr1 0.750 0.250 0.500  0.53
Rh1 0.500 0.500 0.000  0.00
Ba2 0.000 0.000 0.000  0.08

Values from the calculation:
- excess energy over the best structure of this formula in the dataset (kJ/mol of formula units) = 238.2
- SG = I-4m2 (119)
- total energy (eV/atom) = -4.380
- E_form (eV per atom) = 0.557
- calculated density (g/cm³) = 6.82

---

(23)
Here is an optimized crystal structure of Tb2DyEr5Mg from Alexandria. Energies are from GGA-PBE.

Unit cell a=5.369 b=10.347 c=10.364 alpha=90.00 beta=90.00 gamma=105.04
Fractional positions:
Er1 0.500 0.999 0.758
Er2 0.013 0.027 0.008
Mg1 0.405 0.810 0.507
Tb1 0.885 0.770 0.796
Er3 0.500 0.001 0.258
Er4 0.383 0.766 0.008
Er5 0.987 0.973 0.508
Er6 0.289 0.578 0.308
Dy1 0.206 0.412 0.008
Er7 0.710 0.421 0.208
Er8 0.290 0.579 0.708
Tb2 0.115 0.230 0.296
Tb3 0.885 0.770 0.221
Er9 0.617 0.234 0.508
Mg2 0.595 0.190 0.007
Tb4 0.115 0.230 0.721
Dy2 0.794 0.588 0.508
Er10 0.711 0.422 0.808

Values from the calculation:
- SG = Cmc2_1 (36)
- total energy (eV/atom) = -4.146
- E_form (eV per atom) = 0.106
- calculated density (g/cm³) = 8.01

---

(24)
Here is an optimized crystal structure of Sr6TlPb5 from Alexandria. Energies are from GGA-PBE.

Unit cell a=5.901 b=8.005 c=9.369 alpha=90.00 beta=72.25 gamma=90.00
Fractional positions:
Sr1 0.500 0.744 0.000
Pb1 0.669 0.500 0.664
Sr2 0.832 0.248 0.335
Pb2 0.331 0.500 0.336
Pb3 0.000 0.500 0.000
Pb4 0.340 0.000 0.320
Sr3 0.168 0.248 0.665
Sr4 0.500 0.256 0.000
Tl1 0.000 0.000 0.000
Pb5 0.660 0.000 0.680
Sr5 0.168 0.752 0.665
Sr6 0.832 0.752 0.335

Values from the calculation:
- SG = P2/m (10)
- total energy (eV/atom) = -3.091
- E_form (eV per atom) = -0.508
- calculated density (g/cm³) = 6.96

---

(25)
Here is an optimized crystal structure of InHS2I from Alexandria. Energies are from GGA-PBE.

Unit cell a=5.225 b=6.384 c=5.225 alpha=90.00 beta=90.00 gamma=90.00
Last column: magnetic moment on the atom in μB.
Fractional positions:
S1 0.000 0.000 0.500  0.01
In1 0.000 0.500 0.000  0.01
H1 0.500 0.500 0.500  0.36
I1 0.000 0.000 0.000  -0.01
S2 0.500 0.000 0.000  0.02

Values from the calculation:
- SG = P4/mmm (123)
- total energy (eV/atom) = -2.206
- calculated density (g/cm³) = 2.92